The following is a DFT calculation (PBE-GGA) of a relaxed LiLaN2 crystal.

abc: 6.401 6.401 6.401
angles: 34.91 34.91 34.91
Element x y z (fractional)
Li: 0.000 0.000 0.000
La: 0.500 0.500 0.500
N: 0.395 0.395 0.395
N: 0.605 0.605 0.605

Calculated values
ΔE to the lowest computed polymorph   3.770 eV/f.u.
Energy relative to the elements, uncorrected   689 meV/atom
V   19.169 Å³ per atom
M_tot   0.00 μB per formula unit